This record from Alexandria via LeMat-Bulk describes Fe5O8F2 after structural relaxation. The functional is PBE with a Hubbard U.

Cell lengths 4.6558, 7.6017, 9.7917 Å; angles 70.02, 90.00, 90.00 degrees
With the nearest neighbours (Å) after each atom.
Element x y z (fractional)
O  0.6759  0.0788  0.4281  3 Fe 1.92-2.00
O  0.7027  0.3027  0.8243  3 Fe 1.94-2.01
Fe  0.9702  0.1483  0.5493  5 O 1.89-2.00
O  0.1825  0.2929  0.3838  3 Fe 1.90-1.97
Fe  0.5061  0.4644  0.6481  5 O 1.94-2.03, 1 F 2.07
Fe  0.5291  0.0585  0.8600  4 O 1.94-2.01, 2 F 2.08
F  0.3031  0.2122  0.6743  3 Fe 2.07-2.13
O  0.8027  0.3832  0.5299  3 Fe 1.90-2.03
O  0.7016  0.8788  0.0328  3 Fe 1.95-2.00
O  0.1985  0.5267  0.7656  3 Fe 1.95-1.99
Fe  0.4792  0.2464  0.2568  5 O 1.94-1.97, 1 F 2.13
F  0.8031  0.7878  0.3257  3 Fe 2.07-2.13
O  0.2027  0.6973  0.1757  3 Fe 1.94-2.01
Fe  0.9792  0.7536  0.7432  5 O 1.94-1.97, 1 F 2.13
O  0.2016  0.1212  0.9672  3 Fe 1.95-2.00
F  0.3068  0.8157  0.8719  3 Fe 2.08-2.13
O  0.3027  0.6168  0.4701  3 Fe 1.90-2.03
O  0.6985  0.4733  0.2344  3 Fe 1.95-1.99
O  0.3138  0.4081  0.0752  3 Fe 1.94-2.01
O  0.8138  0.5919  0.9248  3 Fe 1.94-2.01
O  0.8088  0.9960  0.7275  3 Fe 1.89-2.01
Fe  0.4702  0.8517  0.4507  5 O 1.89-2.00
Fe  0.5190  0.6394  0.0580  5 O 1.95-2.01, 1 F 2.10
O  0.1759  0.9212  0.5719  3 Fe 1.92-2.00
Fe  0.0190  0.3606  0.9420  5 O 1.95-2.01, 1 F 2.10
F  0.8068  0.1843  0.1281  3 Fe 2.08-2.13
Fe  0.0061  0.5356  0.3519  5 O 1.94-2.03, 1 F 2.07
Fe  0.0291  0.9415  0.1400  4 O 1.94-2.01, 2 F 2.08
O  0.6825  0.7071  0.6162  3 Fe 1.90-1.97
O  0.3088  0.0040  0.2725  3 Fe 1.89-2.01

## Properties
DOS at the Fermi energy   11.3 states/eV/cell
Energy   -183.4 eV/cell
ΔE to the lowest computed polymorph   0.006 eV/atom